## 1
First-principles (PBE-GGA) data for a relaxed V4CrFe crystal, as listed in Alexandria.

a b c (Å): 2.9091 2.9091 8.8119
angles (deg): 90.00 90.00 90.00
Atoms (fractional coordinates):
V 0.5000 0.5000 0.1632
V 0.0000 0.0000 0.6622
V 0.0000 0.0000 0.3378
V 0.5000 0.5000 0.8368
Cr 0.0000 0.0000 0.0000
Fe 0.5000 0.5000 0.5000

***

## 2
First-principles (PBE-GGA) data for a relaxed V4CrFe crystal, as listed in Alexandria.

a b c (Å): 4.1157 3.8911 6.7457
angles (deg): 75.20 72.24 58.07
Atoms (fractional coordinates):
V 0.6231 0.6308 0.1229
V 0.3769 0.3692 0.8771
V 0.1273 0.1201 0.6253
V 0.8727 0.8799 0.3747
Cr 0.5000 0.5000 0.5000
Fe 0.0000 0.0000 0.0000

***

It turns out 1 is the most stable, with the second structure 611 meV/atom higher.

***

## 1
First-principles (PBE-GGA) data for a relaxed CrFeW2 crystal, as listed in Alexandria.

a b c (Å): 2.6577 2.6577 8.3901
angles (deg): 90.00 90.00 108.30
Each line ends with the local moment (μB).
Atoms (fractional coordinates):
Cr 0.0000 0.0000 0.5133  -0.01
Fe 0.5000 0.5000 0.7372  2.16
W 0.0000 0.0000 0.9869  -0.04
W 0.5000 0.5000 0.2627  0.00

***

## 2
First-principles (PBE-GGA) data for a relaxed CrFeW2 crystal, as listed in Alexandria.

a b c (Å): 4.9968 4.9968 4.9968
angles (deg): 144.18 129.37 63.56
Each line ends with the local moment (μB).
Atoms (fractional coordinates):
Cr 0.5016 0.5016 0.0000  0.18
Fe 0.2539 0.7539 0.5000  1.90
W 0.0009 0.0009 0.0000  -0.06
W 0.7436 0.2436 0.5000  -0.02

***

It turns out 1 is the most stable, with the second structure 15 meV/atom higher.

***

## 1
First-principles (PBE-GGA) data for a relaxed CrFeW2 crystal, as listed in Alexandria.

a b c (Å): 4.2745 4.2745 4.2745
angles (deg): 60.00 60.00 60.00
Each line ends with the local moment (μB).
Atoms (fractional coordinates):
Cr 0.0000 0.0000 0.0000  0.17
Fe 0.5000 0.5000 0.5000  1.81
W 0.2500 0.2500 0.2500  -0.01
W 0.7500 0.7500 0.7500  -0.01

***

## 2
First-principles (PBE-GGA) data for a relaxed CrFeW2 crystal, as listed in Alexandria.

a b c (Å): 4.2986 4.2986 4.2986
angles (deg): 60.00 60.00 60.00
Each line ends with the local moment (μB).
Atoms (fractional coordinates):
Cr 0.5000 0.5000 0.5000  0.69
Fe 0.7500 0.7500 0.7500  1.91
W 0.0000 0.0000 0.0000  -0.22
W 0.2500 0.2500 0.2500  -0.06

***

## 3
First-principles (PBE-GGA) data for a relaxed CrFeW2 crystal, as listed in Alexandria.

a b c (Å): 4.2617 4.2617 3.0371
angles (deg): 90.00 90.00 90.00
Each line ends with the local moment (μB).
Atoms (fractional coordinates):
Cr 0.5000 0.0000 0.5000  -0.09
Fe 0.0000 0.5000 0.5000  1.77
W 0.0000 0.0000 0.0000  0.01
W 0.5000 0.5000 0.0000  0.01

***

## 4
First-principles (PBE-GGA) data for a relaxed CrFeW2 crystal, as listed in Alexandria.

a b c (Å): 4.3224 2.6353 5.0023
angles (deg): 80.48 90.00 90.00
Each line ends with the local moment (μB).
Atoms (fractional coordinates):
Cr 0.0000 0.5004 0.4978  0.29
Fe 0.5000 0.7416 0.7504  2.15
W 0.0000 0.0031 0.9883  -0.06
W 0.5000 0.2549 0.2635  -0.02

***

It turns out 3 is the most stable, with the second structure 20 meV/atom higher.

***

## 1
First-principles (PBE-GGA) data for a relaxed CrFeW2 crystal, as listed in Alexandria.

a b c (Å): 4.7530 4.7530 4.5281
angles (deg): 78.26 78.26 33.43
Atoms (fractional coordinates):
Cr 0.5194 0.5194 0.5004
Fe 0.2396 0.2396 0.2397
W 0.9830 0.9830 0.0375
W 0.7581 0.7581 0.7224

***

## 2
First-principles (PBE-GGA) data for a relaxed CrFeW2 crystal, as listed in Alexandria.

a b c (Å): 6.7409 6.7409 5.4241
angles (deg): 51.58 51.58 90.00
Atoms (fractional coordinates):
Cr 0.5000 0.5000 0.0000
Cr 0.2500 0.7500 0.5000
Fe 0.0000 0.0000 0.0000
Fe 0.7500 0.2500 0.5000
W 0.6376 0.1250 0.2500
W 0.1124 0.6250 0.2500
W 0.3750 0.3624 0.7500
W 0.8750 0.8876 0.7500

***

It turns out 1 is the most stable, with the second structure 596 meV/atom higher.

***

## 1
First-principles (PBE-GGA) data for a relaxed CrFeW2 crystal, as listed in Alexandria.

a b c (Å): 4.9864 4.9864 2.6450
angles (deg): 79.92 79.92 115.14
Each line ends with the local moment (μB).
Atoms (fractional coordinates):
Cr 0.5000 0.0000 0.5000  0.41
Fe 0.0000 0.5000 0.5000  2.11
W 0.0000 0.0000 0.0000  -0.06
W 0.5000 0.5000 0.0000  -0.06

***

## 2
First-principles (PBE-GGA) data for a relaxed CrFeW2 crystal, as listed in Alexandria.

a b c (Å): 8.7775 8.7775 8.7775
angles (deg): 18.14 18.14 18.14
Each line ends with the local moment (μB).
Atoms (fractional coordinates):
Cr 0.2500 0.2500 0.2500  1.49
Fe 0.7500 0.7500 0.7500  1.60
W 0.0020 0.0020 0.0020  -0.06
W 0.4980 0.4980 0.4980  -0.06

***

It turns out 1 is the most stable, with the second structure 265 meV/atom higher.

***

## 1
First-principles (PBE-GGA) data for a relaxed CrFeW2 crystal, as listed in Alexandria.

a b c (Å): 2.6577 2.6577 8.4097
angles (deg): 90.00 90.00 109.06
Each line ends with the local moment (μB).
Atoms (fractional coordinates):
Cr 0.5000 0.5000 0.2500  0.02
Fe 0.5000 0.5000 0.7500  2.12
W 0.0000 0.0000 0.9995  -0.04
W 0.0000 0.0000 0.5005  -0.04

***

## 2
First-principles (PBE-GGA) data for a relaxed CrFeW2 crystal, as listed in Alexandria.

a b c (Å): 3.0762 3.0762 5.9086
angles (deg): 90.00 90.00 90.00
Each line ends with the local moment (μB).
Atoms (fractional coordinates):
Cr 0.0000 0.0000 0.5055  0.57
Fe 0.5000 0.5000 0.7442  1.95
W 0.0000 0.0000 0.9841  -0.14
W 0.5000 0.5000 0.2661  -0.07

***

It turns out 1 is the most stable, with the second structure 29 meV/atom higher.

***

## 1
First-principles (PBE-GGA) data for a relaxed CrFeW2 crystal, as listed in Alexandria.

a b c (Å): 3.1116 4.3350 4.1606
angles (deg): 90.00 90.00 90.00
Each line ends with the local moment (μB).
Atoms (fractional coordinates):
Cr 0.5000 0.0000 0.5000  0.73
Fe 0.0000 0.5000 0.5000  1.83
W 0.0000 0.0000 0.0000  -0.12
W 0.5000 0.5000 0.0000  -0.15

***

## 2
First-principles (PBE-GGA) data for a relaxed CrFeW2 crystal, as listed in Alexandria.

a b c (Å): 9.0435 9.0435 9.0435
angles (deg): 17.26 17.26 17.26
Each line ends with the local moment (μB).
Atoms (fractional coordinates):
Cr 0.4922 0.4922 0.4922  -0.65
Fe 0.7563 0.7563 0.7563  1.56
W 0.0061 0.0061 0.0061  -0.02
W 0.2454 0.2454 0.2454  0.00

***

It turns out 1 is the most stable, with the second structure 247 meV/atom higher.

***

## 1
First-principles (PBE-GGA) data for a relaxed CrFeW crystal, as listed in Alexandria.

a b c (Å): 3.9606 3.9606 3.9606
angles (deg): 60.00 60.00 60.00
Each line ends with the local moment (μB).
Atoms (fractional coordinates):
Cr 0.5000 0.5000 0.5000  0.58
Fe 0.7500 0.7500 0.7500  -0.01
W 0.0000 0.0000 0.0000  -0.06

***

## 2
First-principles (PBE-GGA) data for a relaxed CrFeW crystal, as listed in Alexandria.

a b c (Å): 4.6292 4.6507 9.1325
angles (deg): 82.75 75.32 60.15
Each line ends with the local moment (μB).
Atoms (fractional coordinates):
Fe 0.1777 0.5000 0.6446  1.89
Fe 0.3223 0.5000 0.3554  1.89
Fe 0.5723 0.0000 0.8554  1.89
Fe 0.4277 0.0000 0.1446  1.89
Cr 0.6256 0.5000 0.7488  -0.54
Cr 0.8744 0.5000 0.2512  -0.54
Cr 0.1244 0.0000 0.7512  -0.54
Cr 0.8756 0.0000 0.2488  -0.54
W 0.9207 0.1586 0.5000  0.06
W 0.5793 0.8414 0.5000  0.06
W 0.8293 0.3414 0.0000  0.06
W 0.1707 0.6586 0.0000  0.06

***

It turns out 2 is the most stable, with the second structure 220 meV/atom higher.

***

## 1
First-principles (PBE-GGA) data for a relaxed CrFeW crystal, as listed in Alexandria.

a b c (Å): 4.7360 4.7360 4.7360
angles (deg): 90.69 120.96 118.26
Atoms (fractional coordinates):
Cr 0.5000 0.5000 0.5000
Cr 0.0000 0.5000 0.0000
Fe 0.0000 0.5000 0.5000
Fe 0.5000 0.0000 0.5000
W 0.2500 0.1274 0.8774
W 0.7500 0.8726 0.1226

***

## 2
First-principles (PBE-GGA) data for a relaxed CrFeW crystal, as listed in Alexandria.

a b c (Å): 6.4890 6.3307 2.6023
angles (deg): 81.72 74.90 23.38
Each line ends with the local moment (μB).
Atoms (fractional coordinates):
Cr 0.9934 0.9934 0.0066  -0.18
Fe 0.3396 0.3396 0.6604  2.06
W 0.6670 0.6670 0.3330  -0.05

***

## 3
First-principles (PBE-GGA) data for a relaxed CrFeW crystal, as listed in Alexandria.

a b c (Å): 4.0630 4.0630 4.0630
angles (deg): 60.00 60.00 60.00
Each line ends with the local moment (μB).
Atoms (fractional coordinates):
Cr 0.0000 0.0000 0.0000  2.29
Fe 0.5000 0.5000 0.5000  1.32
W 0.7500 0.7500 0.7500  -0.49

***

## 4
First-principles (PBE-GGA) data for a relaxed CrFeW crystal, as listed in Alexandria.

a b c (Å): 5.7529 5.7529 5.7529
angles (deg): 153.25 153.25 38.20
Each line ends with the local moment (μB).
Atoms (fractional coordinates):
Cr 0.9804 0.9804 0.0000  0.03
Fe 0.3489 0.3489 0.0000  0.20
W 0.6707 0.6707 0.0000  -0.01

***

It turns out 1 is the most stable, with the second structure 151 meV/atom higher.

***

## 1
First-principles (PBE-GGA) data for a relaxed CrFeW crystal, as listed in Alexandria.

a b c (Å): 4.2222 4.2222 2.5706
angles (deg): 90.00 90.00 120.00
Each line ends with the local moment (μB).
Atoms (fractional coordinates):
Cr 0.0000 0.0000 0.9970  0.48
Fe 0.6667 0.3333 0.3337  2.09
W 0.3333 0.6667 0.6693  -0.11

***

## 2
First-principles (PBE-GGA) data for a relaxed CrFeW crystal, as listed in Alexandria.

a b c (Å): 4.7743 4.7743 4.7743
angles (deg): 147.08 138.92 53.62
Atoms (fractional coordinates):
Cr 0.0110 0.0110 0.0000
Fe 0.6574 0.6574 0.0000
W 0.3316 0.3316 0.0000

***

It turns out 1 is the most stable, with the second structure 99 meV/atom higher.

***

## 1
First-principles (PBE-GGA) data for a relaxed Cr2Fe2W crystal, as listed in Alexandria.

a b c (Å): 6.7932 6.7932 2.6230
angles (deg): 90.00 90.00 90.00
Atoms (fractional coordinates):
Cr 0.1661 0.6661 0.5000
Cr 0.6661 0.8339 0.5000
Cr 0.8339 0.3339 0.5000
Cr 0.3339 0.1661 0.5000
Fe 0.3698 0.8698 0.0000
Fe 0.8698 0.6302 0.0000
Fe 0.6302 0.1302 0.0000
Fe 0.1302 0.3698 0.0000
W 0.0000 0.0000 0.0000
W 0.5000 0.5000 0.0000

***

## 2
First-principles (PBE-GGA) data for a relaxed Cr2Fe2W crystal, as listed in Alexandria.

a b c (Å): 5.5070 5.5070 5.5070
angles (deg): 141.84 141.84 55.06
Atoms (fractional coordinates):
Cr 0.2500 0.7500 0.5000
Cr 0.7500 0.2500 0.5000
Fe 0.6075 0.6075 0.0000
Fe 0.3925 0.3925 0.0000
W 0.0000 0.0000 0.0000

***

It turns out 1 is the most stable, with the second structure 229 meV/atom higher.

***

## 1
First-principles (PBE-GGA) data for a relaxed YCrFe2 crystal, as listed in Alexandria.

a b c (Å): 4.5317 4.5317 8.2615
angles (deg): 74.08 74.08 90.00
Each line ends with the local moment (μB).
Atoms (fractional coordinates):
Y 0.0000 0.0000 0.0000  -0.17
Y 0.7500 0.2500 0.5000  -0.17
Cr 0.5000 0.5000 0.0000  -2.20
Cr 0.2500 0.7500 0.5000  -2.21
Fe 0.3754 0.1250 0.2500  1.82
Fe 0.3746 0.6250 0.2500  1.80
Fe 0.3750 0.6246 0.7500  1.53
Fe 0.8750 0.6254 0.7500  1.51

***

## 2
First-principles (PBE-GGA) data for a relaxed YCrFe2 crystal, as listed in Alexandria.

a b c (Å): 3.0802 3.0801 6.6347
angles (deg): 90.00 90.00 90.00
Each line ends with the local moment (μB).
Atoms (fractional coordinates):
Cr 0.5000 0.5000 0.8231  -1.19
Fe 0.0000 0.0000 0.9971  2.11
Fe 0.5000 0.5000 0.1817  2.34
Y 0.0000 0.0000 0.4981  0.02

***

## 3
First-principles (PBE-GGA) data for a relaxed YCrFe2 crystal, as listed in Alexandria.

a b c (Å): 4.3346 4.3346 4.3346
angles (deg): 60.00 60.00 60.00
Each line ends with the local moment (μB).
Atoms (fractional coordinates):
Y 0.5000 0.5000 0.5000  -0.12
Cr 0.0000 0.0000 0.0000  0.65
Fe 0.2500 0.2500 0.2500  0.35
Fe 0.7500 0.7500 0.7500  0.35

***

It turns out 2 is the most stable, with the second structure 180 meV/atom higher.